A plane-wave DFT calculation with PBE was carried out for a relaxed structure of ZrNiHg.

Computed properties:
VASP energy in eV per atom: -4.85
Distance to the lowest polymorph of the same formula in kJ/mol of formula units: 104

Lattice parameters (Å, degrees): 3.4604 3.4604 5.8088 90.00 90.00 120.00
Closest atoms and distances in Å follow each position.
Space group P3m1 (No. 156)
Unique sites:
1 Zr 0.0000 0.0000 0.0000 (multiplicity 1)  3 Ni 2.53
2 Ni 0.3333 0.6667 0.7322 (multiplicity 1)  3 Zr 2.53, 3 Hg 2.74
3 Hg 0.6667 0.3333 0.4090 (multiplicity 1)  3 Ni 2.74